The following is a DFT calculation (PBE+U) of a geometry-optimized MnHgO structure.

Geometry as POSCAR:
```
MnHgO
1.0
3.407 0.000 0.000
0.000 6.302 -0.633
-1.703 -3.411 5.552
Mn Hg O
2 2 2
Cartesian
0.000 0.229 2.650
1.703 2.662 2.269
1.703 4.860 0.153
0.000 -1.969 4.766
0.000 1.943 1.379
1.703 0.948 3.540
```

The value obtained for the density of states at the Fermi level is 0.42 states/eV per cell. The relative energy among the computed polymorphs is 0.1572 eV per atom. The calculated total energy comes out at -4.964 eV per atom. The mass density comes out at 8.1 g cm⁻³. Its spin magnetization is 4.99 μB per formula unit.